Record 1
A plane-wave DFT calculation with GGA-PBE was carried out for crystalline TbDy5Er2Mg at its relaxed geometry.

CIF file:
```
data_TbDy5Er2Mg
_symmetry_space_group_name_H-M 'P 1'
_symmetry_Int_Tables_number 1
_cell_length_a 5.387
_cell_length_b 10.317
_cell_length_c 10.479
_cell_angle_alpha 90.00
_cell_angle_beta 90.00
_cell_angle_gamma 105.14
loop_
_symmetry_equiv_pos_as_xyz
'x,y,z'
loop_
_atom_site_label
_atom_site_fract_x
_atom_site_fract_y
_atom_site_fract_z
Tb1 0.794 0.589 0.508
Tb2 0.206 0.411 0.008
Dy1 0.383 0.766 0.009
Dy2 0.710 0.421 0.807
Dy3 0.500 0.999 0.758
Dy4 0.290 0.581 0.710
Dy5 0.986 0.972 0.508
Dy6 0.617 0.234 0.509
Dy7 0.290 0.579 0.307
Dy8 0.500 0.001 0.258
Dy9 0.710 0.419 0.210
Dy10 0.014 0.028 0.008
Er1 0.886 0.772 0.795
Er2 0.114 0.229 0.722
Er3 0.114 0.228 0.295
Er4 0.886 0.771 0.222
Mg1 0.595 0.190 0.007
Mg2 0.405 0.810 0.507
```

Calculated values
Formation enthalpy at 0 K in kJ/mol of formula units: 92
Total magnetization in μB/f.u.: 0.0
Mass density in Mg/m³: 7.86
Space group: Cmc2_1, No. 36

---

Record 2
A plane-wave DFT calculation with GGA-PBE was carried out for crystalline Tb3Dy6Er2Mg at its relaxed geometry.

CIF file:
```
data_Tb3Dy6Er2Mg
_symmetry_space_group_name_H-M 'P 1'
_symmetry_Int_Tables_number 1
_cell_length_a 6.109
_cell_length_b 6.109
_cell_length_c 11.622
_cell_angle_alpha 95.05
_cell_angle_beta 95.05
_cell_angle_gamma 120.04
loop_
_symmetry_equiv_pos_as_xyz
'x,y,z'
loop_
_atom_site_label
_atom_site_fract_x
_atom_site_fract_y
_atom_site_fract_z
Tb1 0.166 0.834 0.500
Tb2 0.834 0.166 0.500
Tb3 0.500 0.500 0.500
Dy1 0.918 0.585 0.753
Dy2 0.748 0.748 0.248
Dy3 0.082 0.415 0.247
Dy4 0.585 0.918 0.753
Dy5 0.252 0.252 0.752
Dy6 0.415 0.082 0.247
Er1 0.334 0.666 0.000
Er2 0.666 0.334 0.000
Mg1 0.000 0.000 0.000
```

Calculated values
Formation enthalpy at 0 K in kJ/mol of formula units: 34
Total magnetization in μB/f.u.: 0.0
Mass density in Mg/m³: 8.13
Space group: C2/m, No. 12

---

Record 3
A plane-wave DFT calculation with GGA-PBE was carried out for crystalline Tb2Dy4ErMg at its relaxed geometry.

CIF file:
```
data_Tb2Dy4ErMg
_symmetry_space_group_name_H-M 'P 1'
_symmetry_Int_Tables_number 1
_cell_length_a 4.945
_cell_length_b 4.957
_cell_length_c 11.127
_cell_angle_alpha 63.50
_cell_angle_beta 90.00
_cell_angle_gamma 90.00
loop_
_symmetry_equiv_pos_as_xyz
'x,y,z'
loop_
_atom_site_label
_atom_site_fract_x
_atom_site_fract_y
_atom_site_fract_z
Tb1 0.000 0.000 0.000
Tb2 0.500 0.000 0.500
Dy1 0.000 0.749 0.751
Dy2 0.000 0.251 0.249
Dy3 0.500 0.751 0.249
Dy4 0.500 0.249 0.751
Er1 0.000 0.500 0.500
Mg1 0.500 0.500 0.000
```

Calculated values
Formation enthalpy at 0 K in kJ/mol of formula units: 17
Total magnetization in μB/f.u.: 0.0
Mass density in Mg/m³: 7.89
Space group: P2/m, No. 10

---

Record 4
A plane-wave DFT calculation with GGA-PBE was carried out for crystalline Tb2Dy6Er3Mg at its relaxed geometry.

CIF file:
```
data_Tb2Dy6Er3Mg
_symmetry_space_group_name_H-M 'P 1'
_symmetry_Int_Tables_number 1
_cell_length_a 6.089
_cell_length_b 6.089
_cell_length_c 11.624
_cell_angle_alpha 95.04
_cell_angle_beta 95.04
_cell_angle_gamma 120.04
loop_
_symmetry_equiv_pos_as_xyz
'x,y,z'
loop_
_atom_site_label
_atom_site_fract_x
_atom_site_fract_y
_atom_site_fract_z
Tb1 0.334 0.666 0.000
Tb2 0.666 0.334 0.000
Dy1 0.917 0.585 0.750
Dy2 0.750 0.750 0.251
Dy3 0.083 0.415 0.250
Dy4 0.585 0.917 0.750
Dy5 0.250 0.250 0.749
Dy6 0.415 0.083 0.250
Er1 0.166 0.834 0.500
Er2 0.834 0.166 0.500
Er3 0.500 0.500 0.500
Mg1 0.000 0.000 0.000
```

Calculated values
Formation enthalpy at 0 K in kJ/mol of formula units: 30
Total magnetization in μB/f.u.: 0.0
Mass density in Mg/m³: 8.22
Space group: C2/m, No. 12

---

Q: Which value of total magnetization does entry 3 give?
A: 0.0 μB/f.u.

---

Q: Which formula does entry 4 have?
A: Tb2Dy6Er3Mg